Computed, not measured: a relaxed structure of Rb4Ho3USe8 at the GGA-PBE level of DFT.

```
16
Lattice="4.2422 2.4492 8.0057 -4.2422 2.4492 8.0057 0.0000 -4.8985 8.0057" Properties=species:S:1:pos:R:3 pbc="T T T"
Rb 0.0000 0.0000 0.0000
Rb -2.1211 -1.2246 8.0057
Rb -2.1211 1.2246 16.0114
Rb 0.0000 2.4492 8.0057
Ho -4.2422 0.0000 12.0086
Ho -2.1211 1.2246 4.0028
Ho 2.1211 1.2246 4.0029
U 0.0000 0.0000 12.0086
Se -2.1432 -1.2374 13.5771
Se 0.0000 0.0000 5.5592
Se 0.0000 -2.4748 10.4400
Se -2.1432 1.2374 10.4400
Se 2.1432 -1.2374 13.5771
Se 0.0000 2.4748 13.5771
Se 0.0000 0.0000 18.4579
Se 2.1432 1.2374 10.4400
```

Values from the calculation:
Symmetry   No. 166
Electronic total energy   -5.14 eV per atom
Energy relative to the elements, uncorrected   -1.589 eV per atom



Computed, not measured: a relaxed structure of ScReSb2Ir at the GGA-PBE level of DFT.

```
5
Lattice="5.1743 0.0000 0.0000 0.0000 5.1743 0.0000 0.0000 0.0000 4.6077" Properties=species:S:1:pos:R:3 pbc="T T T"
Sc 0.0000 0.0000 0.0000
Re 2.5872 2.5872 2.3038
Sb 0.0000 2.5872 0.0000
Sb 2.5872 0.0000 0.0000
Ir 0.0000 0.0000 2.3038
```

Values from the calculation:
Symmetry   No. 123
Electronic total energy   -5.46 eV per atom
Energy relative to the elements, uncorrected   1.717 eV per atom



Computed, not measured: a relaxed structure of La2TcTeC at the GGA-PBE level of DFT.

```
5
Lattice="5.4064 0.0000 0.0000 0.0000 5.4064 0.0000 0.0000 0.0000 4.0334" Properties=species:S:1:pos:R:3 pbc="T T T"
La 0.0000 2.7032 0.0000
La 2.7032 0.0000 0.0000
Tc 0.0000 0.0000 2.0167
Te 2.7032 2.7032 2.0167
C 0.0000 0.0000 0.0000
```

Values from the calculation:
Symmetry   No. 123
Electronic total energy   -7.03 eV per atom
Energy relative to the elements, uncorrected   -0.514 eV per atom



Computed, not measured: a relaxed structure of Tl2CrPb at the GGA-PBE level of DFT.

```
4
Lattice="3.7016 0.0000 0.0000 0.0000 5.3219 0.0000 0.0000 0.0000 5.4269" Properties=species:S:1:pos:R:3 pbc="T T T"
Tl 0.0000 0.0000 0.0000
Tl 1.8508 2.6609 0.0000
Cr 0.0000 2.6609 2.7135
Pb 1.8508 0.0000 2.7135
```

Values from the calculation:
Symmetry   No. 47
Electronic total energy   -4.08 eV per atom
Formation energy from the elements   0.435 eV/atom



Computed, not measured: a relaxed structure of Tb12Nd2Tm5 at the GGA-PBE level of DFT.

```
19
Lattice="7.8727 -4.6054 0.0000 7.8727 4.6054 0.0000 -0.1250 0.0000 8.5264" Properties=species:S:1:pos:R:3 pbc="T T T"
Tb 0.9017 0.0000 2.8232
Tb 5.8471 2.8367 2.9493
Tb 5.3061 1.6679 6.4581
Tb 9.7734 2.8367 5.5771
Tb 6.3781 0.0000 1.0018
Tb 10.3143 1.6679 2.0683
Tb 5.3061 -1.6679 6.4581
Tb 9.2424 0.0000 7.5246
Tb 5.8471 -2.8367 2.9493
Tb 10.3143 -1.6679 2.0683
Tb 9.7734 -2.8367 5.5771
Tb 14.7188 0.0000 5.7032
Nd 7.8727 2.9266 0.0000
Nd 7.8727 -2.9266 0.0000
Tm 3.1030 0.0000 0.0902
Tm 4.1775 0.0000 3.6265
Tm 7.8102 0.0000 4.2632
Tm 11.4429 0.0000 4.8999
Tm 12.5175 0.0000 8.4362
```

Values from the calculation:
Symmetry   No. 12
Electronic total energy   -4.47 eV per atom
Formation energy from the elements   0.134 eV/atom



Computed, not measured: a relaxed structure of Zr2ScOs3 at the GGA-PBE level of DFT.

```
6
Lattice="3.2691 0.0000 0.0000 0.0000 3.2691 0.0000 0.0000 0.0000 9.7531" Properties=species:S:1:pos:R:3 pbc="T T T"
Zr 0.0000 0.0000 1.6637
Zr 0.0000 0.0000 8.0894
Sc 0.0000 0.0000 4.8765
Os 1.6345 1.6345 0.0000
Os 1.6345 1.6345 3.2524
Os 1.6345 1.6345 6.5007
```

Values from the calculation:
Symmetry   No. 123
Electronic total energy   -10.03 eV per atom
Formation energy from the elements   -0.510 eV/atom



Computed, not measured: a relaxed structure of P2Se3 at the GGA-PBE level of DFT.

```
10
Lattice="0.0000 6.1751 3.4453 6.1121 0.0000 3.4453 6.1121 6.1751 0.0000" Properties=species:S:1:pos:R:3 pbc="T T T"
P 6.5621 4.8709 3.4453
P 5.6621 7.4794 3.4453
P 8.7182 7.9584 5.1680
P 9.6181 10.5669 5.1680
Se 3.0561 3.0876 0.2601
Se 7.7544 6.6940 2.5357
Se 10.8104 8.7438 4.2583
Se 4.4698 5.6562 2.5357
Se 6.1121 6.1751 5.4280
Se 7.5259 9.7816 4.2583
```

Values from the calculation:
Symmetry   No. 43
Electronic total energy   -4.11 eV per atom
Energy relative to the elements, uncorrected   0.143 eV per atom



Computed, not measured: a relaxed structure of Re2TcRhSe at the GGA-PBE level of DFT.

```
5
Lattice="4.5367 0.0000 0.0000 0.0000 4.5367 0.0000 0.0000 0.0000 4.4674" Properties=species:S:1:pos:R:3 pbc="T T T"
Re 0.0000 2.2683 0.0000
Re 2.2683 0.0000 0.0000
Tc 0.0000 0.0000 2.2337
Rh 2.2683 2.2683 2.2337
Se 2.2683 2.2683 0.0000
```

Values from the calculation:
Symmetry   No. 123
Electronic total energy   -7.59 eV per atom
Energy relative to the elements, uncorrected   1.629 eV per atom



Computed, not measured: a relaxed structure of LaTmGe2Pt5 at the GGA-PBE level of DFT.

```
9
Lattice="4.3572 0.0000 0.0000 0.0000 4.3572 0.0000 0.0000 0.0000 8.9580" Properties=species:S:1:pos:R:3 pbc="T T T"
La 0.0000 0.0000 0.0000
Tm 0.0000 0.0000 4.4790
Ge 2.1786 2.1786 3.2721
Ge 2.1786 2.1786 5.6858
Pt 0.0000 2.1786 2.1189
Pt 0.0000 2.1786 6.8391
Pt 2.1786 0.0000 2.1189
Pt 2.1786 0.0000 6.8391
Pt 2.1786 2.1786 0.0000
```

Values from the calculation:
Symmetry   No. 123
Electronic total energy   -6.29 eV per atom
Formation energy from the elements   -0.859 eV/atom



Computed, not measured: a relaxed structure of AsIrPtC2 at the GGA-PBE level of DFT.

```
5
Lattice="3.8190 0.0000 0.0000 0.0000 3.8190 0.0000 0.0000 0.0000 5.6409" Properties=species:S:1:pos:R:3 pbc="T T T"
As 0.0000 0.0000 0.0000
Ir 0.0000 0.0000 2.8205
Pt 1.9095 1.9095 0.0000
C 0.0000 1.9095 2.8205
C 1.9095 0.0000 2.8205
```

Values from the calculation:
Symmetry   No. 123
Electronic total energy   -6.28 eV per atom
Formation energy from the elements   1.322 eV/atom



Computed, not measured: a relaxed structure of TaTi3Sn at the GGA-PBE level of DFT.

```
5
Lattice="4.8202 0.0000 0.0000 0.0000 4.8202 0.0000 0.0000 0.0000 4.8202" Properties=species:S:1:pos:R:3 pbc="T T T"
Ta 0.0000 0.0000 0.0000
Ti 0.0000 0.0000 2.4101
Ti 0.0000 2.4101 0.0000
Ti 2.4101 0.0000 0.0000
Sn 2.4101 2.4101 2.4101
```

Values from the calculation:
Symmetry   No. 221
Electronic total energy   -7.07 eV per atom
Formation energy from the elements   0.835 eV/atom



Computed, not measured: a relaxed structure of DyEr4S7 at the GGA-PBE level of DFT.

```
12
Lattice="6.3805 -1.8888 0.0000 6.3805 1.8888 0.0000 -2.8883 0.0000 11.1777" Properties=species:S:1:pos:R:3 pbc="T T T"
Dy 0.0000 0.0000 0.0000
Er 0.2124 0.0000 4.7133
Er 0.4237 0.0000 9.4092
Er 3.4988 0.0000 6.7972
Er 9.6863 0.0000 2.6183
S -0.9433 0.0000 7.1088
S 1.3683 0.0000 2.3198
S 4.5109 0.0000 0.7702
S 4.7139 0.0000 4.1393
S 5.1608 0.0000 10.2810
S 8.4750 0.0000 5.2779
S 8.6414 0.0000 8.6347
```

Values from the calculation:
Symmetry   No. 8
Electronic total energy   -6.38 eV per atom
Energy relative to the elements, uncorrected   -2.064 eV per atom



Computed, not measured: a relaxed structure of Ba2CdPbO5 at the GGA-PBE level of DFT.

```
18
Lattice="1.8096 -7.5402 0.0000 1.8096 7.5402 0.0000 0.0000 0.0000 11.7063" Properties=species:S:1:pos:R:3 pbc="T T T"
Ba 1.8096 6.0977 5.8532
Ba 1.8096 5.4892 1.4434
Ba 1.8096 -5.4892 7.2966
Ba 1.8096 -6.0977 0.0000
Cd 1.8096 0.6135 3.2159
Cd 1.8096 -0.6135 9.0691
Pb 1.8096 4.2354 9.8776
Pb 1.8096 -4.2354 4.0244
O 1.8096 6.4503 10.2638
O 1.8096 3.4188 5.5211
O 1.8096 2.9474 2.6058
O 1.8096 2.0839 9.5949
O 1.8096 0.0872 7.0493
O 1.8096 -0.0872 1.1961
O 1.8096 -2.0839 3.7417
O 1.8096 -2.9474 8.4590
O 1.8096 -3.4188 11.3743
O 1.8096 -6.4503 4.4106
```

Values from the calculation:
Symmetry   No. 36
Electronic total energy   -5.39 eV per atom
Energy relative to the elements, uncorrected   -1.697 eV per atom



Computed, not measured: a relaxed structure of LiAc2Au2O2 at the GGA-PBE level of DFT.

```
7
Lattice="4.1945 0.0000 0.0000 -2.0972 3.6325 0.0000 0.0000 0.0000 12.7447" Properties=species:S:1:pos:R:3 pbc="T T T"
Li 0.0000 0.0000 0.0000
Ac 0.0000 2.4217 7.9694
Ac 2.0972 1.2108 4.7753
Au 0.0000 0.0000 2.5970
Au 0.0000 0.0000 10.1477
O 0.0000 2.4217 5.4567
O 2.0972 1.2108 7.2880
```

Values from the calculation:
Symmetry   No. 164
Electronic total energy   -5.50 eV per atom
Energy relative to the elements, uncorrected   -1.699 eV per atom



Computed, not measured: a relaxed structure of LaNd2Cl at the GGA-PBE level of DFT.

```
4
Lattice="1.8744 1.0822 10.2367 -1.8744 1.0822 10.2367 0.0000 -2.1643 10.2367" Properties=species:S:1:pos:R:3 pbc="T T T"
La 0.0000 0.0000 0.0000
Nd 0.0000 0.0000 7.3232
Nd 0.0000 0.0000 23.3871
Cl 0.0000 0.0000 15.3551
```

Values from the calculation:
Symmetry   No. 166
Electronic total energy   -4.78 eV per atom
Energy relative to the elements, uncorrected   -0.702 eV per atom



Computed, not measured: a relaxed structure of La2Tb6Pm3Sm at the GGA-PBE level of DFT.

```
12
Lattice="3.1435 -5.4457 0.0000 3.1435 5.4457 0.0000 -2.0924 0.0000 11.7392" Properties=species:S:1:pos:R:3 pbc="T T T"
La 3.1435 3.6309 0.0000
La 3.1435 -3.6309 0.0000
Tb 0.0039 1.8116 8.7837
Tb 1.0539 0.0000 2.9561
Tb 0.0039 -1.8116 8.7837
Tb 4.1908 1.8116 2.9555
Tb 3.1408 0.0000 8.7831
Tb 4.1908 -1.8116 2.9555
Pm -1.0462 0.0000 5.8696
Pm 2.0973 1.8129 5.8696
Pm 2.0973 -1.8129 5.8696
Sm 3.1435 0.0000 0.0000
```

Values from the calculation:
Symmetry   No. 12
Electronic total energy   -4.70 eV per atom
Formation energy from the elements   0.013 eV/atom



Computed, not measured: a relaxed structure of BaSi2Sb at the GGA-PBE level of DFT.

```
4
Lattice="4.9913 -1.9174 0.0000 4.9913 1.9174 0.0000 -1.9267 0.0000 5.7937" Properties=species:S:1:pos:R:3 pbc="T T T"
Ba 0.0000 0.0000 0.0000
Si 1.1876 0.0000 3.6415
Si 6.8683 0.0000 2.1521
Sb 4.0280 0.0000 2.8968
```

Values from the calculation:
Symmetry   No. 12
Electronic total energy   -4.40 eV per atom
Energy relative to the elements, uncorrected   -0.174 eV per atom



Computed, not measured: a relaxed structure of SrTaIrO6 at the GGA-PBE level of DFT.

```
18
Lattice="4.9775 0.0000 0.0000 0.0000 4.9775 0.0000 0.0000 0.0000 9.7318" Properties=species:S:1:pos:R:3 pbc="T T T"
Sr 0.0000 0.0000 0.0000
Sr 2.4888 2.4888 4.8659
Ta 0.0000 0.0000 6.4359
Ta 2.4888 2.4888 1.5700
Ir 0.0000 0.0000 3.1691
Ir 2.4888 2.4888 8.0350
O 0.8273 0.8273 4.7746
O 1.1120 1.1120 1.8463
O 1.1187 1.1187 7.7566
O 1.3701 3.6074 2.8907
O 1.3767 3.6008 6.7123
O 1.6615 3.3160 9.6405
O 3.3160 1.6615 9.6405
O 3.6008 1.3767 6.7123
O 3.6074 1.3701 2.8907
O 3.8589 3.8589 7.7566
O 3.8655 3.8655 1.8463
O 4.1502 4.1502 4.7746
```

Values from the calculation:
Symmetry   No. 102
Electronic total energy   -7.73 eV per atom
Energy relative to the elements, uncorrected   -1.940 eV per atom



Computed, not measured: a relaxed structure of Mn2CdBr at the GGA-PBE level of DFT.

```
4
Lattice="-2.1467 2.1467 4.3227 2.1467 -2.1467 4.3227 2.1467 2.1467 -4.3227" Properties=species:S:1:pos:R:3 pbc="T T T"
Mn 2.1467 0.0000 2.1614
Mn 0.0000 2.1467 2.1614
Cd 0.0000 0.0000 0.0000
Br 0.0000 0.0000 4.3227
```

Values from the calculation:
Symmetry   No. 139
Electronic total energy   -4.66 eV per atom
Energy relative to the elements, uncorrected   0.572 eV per atom



Computed, not measured: a relaxed structure of Ce2PmH at the GGA-PBE level of DFT.

```
4
Lattice="1.7487 1.0096 8.9125 -1.7487 1.0096 8.9125 0.0000 -2.0192 8.9125" Properties=species:S:1:pos:R:3 pbc="T T T"
Ce 0.0000 0.0000 5.9381
Ce 0.0000 0.0000 20.7993
Pm 0.0000 0.0000 0.0000
H 0.0000 0.0000 13.3687
```

Values from the calculation:
Symmetry   No. 166
Electronic total energy   -5.07 eV per atom



Computed, not measured: a relaxed structure of Mg2ZrPb at the GGA-PBE level of DFT.

```
4
Lattice="-1.6821 2.5623 5.4525 1.6821 -2.5623 5.4525 1.6821 2.5623 -5.4525" Properties=species:S:1:pos:R:3 pbc="T T T"
Mg 0.0000 0.0000 2.7071
Mg 0.0000 0.0000 8.1979
Zr 1.6821 0.0000 0.0000
Pb 0.0000 2.5623 0.0000
```

Values from the calculation:
Symmetry   No. 71
Electronic total energy   -3.92 eV per atom
Formation energy from the elements   -0.054 eV/atom



Computed, not measured: a relaxed structure of InH2 at the GGA-PBE level of DFT.

```
3
Lattice="3.1197 0.0000 0.0000 -1.3332 2.8212 0.0000 -0.1199 -1.1049 7.7727" Properties=species:S:1:pos:R:3 pbc="T T T"
In 0.0000 0.0000 0.0000
H 0.1943 2.2974 3.5070
H 1.5258 -0.4906 4.2583
```

Values from the calculation:
Symmetry   No. 1
Electronic total energy   -3.03 eV per atom



Computed, not measured: a relaxed structure of GaGeTe3 at the GGA-PBE level of DFT.

```
10
Lattice="2.0118 -11.3816 0.0000 2.0118 11.3816 0.0000 0.0000 0.0000 6.9869" Properties=species:S:1:pos:R:3 pbc="T T T"
Ga 2.0118 8.4872 3.4935
Ga 2.0118 -8.4872 0.0000
Ge 2.0118 3.7317 3.0303
Ge 2.0118 -3.7317 6.5237
Te 2.0118 9.0921 0.9291
Te 2.0118 6.1793 4.7919
Te 2.0118 1.5488 1.1385
Te 2.0118 -1.5488 4.6320
Te 2.0118 -6.1793 1.2984
Te 2.0118 -9.0921 4.4226
```

Values from the calculation:
Symmetry   No. 36
Electronic total energy   -3.55 eV per atom
Energy relative to the elements, uncorrected   -0.140 eV per atom



Computed, not measured: a relaxed structure of PuZrHg at the GGA-PBE level of DFT.

```
3
Lattice="-1.5883 1.5883 7.0421 1.5883 -1.5883 7.0421 1.5883 1.5883 -7.0421" Properties=species:S:1:pos:R:3 pbc="T T T"
Pu 0.0000 0.0000 0.0000
Zr 0.0000 0.0000 4.6235
Hg 0.0000 0.0000 9.5022
```

Values from the calculation:
Symmetry   No. 107
Electronic total energy   -7.75 eV per atom
Formation energy from the elements   -0.026 eV/atom



Computed, not measured: a relaxed structure of Pm2TeRu at the GGA-PBE level of DFT.

```
4
Lattice="0.0000 3.6916 3.6916 3.6916 0.0000 3.6916 3.6916 3.6916 0.0000" Properties=species:S:1:pos:R:3 pbc="T T T"
Pm 1.8458 1.8458 1.8458
Pm 5.5375 5.5375 5.5375
Te 0.0000 0.0000 0.0000
Ru 3.6916 3.6916 3.6916
```

Values from the calculation:
Symmetry   No. 225
Electronic total energy   -5.90 eV per atom
Energy relative to the elements, uncorrected   -0.420 eV per atom